Sr2RhAu after structural relaxation. Source: Alexandria via LeMat-Bulk, functional PBE.

## Properties
**Crystal system**: monoclinic
**Total moment**: 0.000 μB per formula unit
**Calculated formation energy**: -0.435 eV/atom
**Electronic total energy**: -15.73 eV per formula unit

abc: 3.652 3.690 8.574
angles: 64.44 90.00 90.00
Atoms (fractional coordinates):
Rh1 0.500 0.750 0.750
Sr1 0.000 0.018 0.982
Sr2 0.000 0.482 0.518
Au1 0.500 0.250 0.250